(1)
Below is crystalline CoAs2BrF at its relaxed geometry, with properties calculated at the GGA+U level.

Cell: 4.269 4.269 5.864 Å, 90.00 90.00 90.00°
Site moments in Bohr magnetons follow the coordinates.
Element x y z (fractional)
Br 0.000 0.000 0.500  0.00
Co 0.500 0.500 0.500  2.13
As 0.500 0.000 0.000  0.03
F 0.000 0.000 0.000  0.01
As 0.000 0.500 0.000  0.03

Values from the calculation:
For the total magnetization, the calculation gives 2.287 μB per formula unit. For the density of states at the Fermi level, the calculation gives 3.0 states/eV/cell. For the energy above the most stable polymorph in this dataset, the calculation gives 199.1 meV/atom. The calculation puts the energy at -3.1531 eV per atom.

(2)
Below is crystalline Tl2CrAgO4 at its relaxed geometry, with properties calculated at the GGA+U level.

Cell: 5.659 6.237 10.565 Å, 83.02 74.47 63.02°
Site moments in Bohr magnetons follow the coordinates.
Element x y z (fractional)
Ag 0.750 0.500 0.500  0.02
O 0.278 0.192 0.906  -0.04
Cr 0.500 0.000 0.000  1.11
O 0.934 0.692 0.594  -0.04
O 0.816 0.808 0.906  -0.04
Cr 0.250 0.500 0.500  1.11
Tl 0.933 0.500 0.135  0.01
Tl 0.817 0.000 0.365  0.01
Tl 0.567 0.500 0.865  0.01
O 0.530 0.192 0.094  -0.04
O 0.472 0.308 0.594  -0.04
O 0.374 0.692 0.406  -0.04
Ag 0.000 0.000 0.000  0.02
O 0.220 0.308 0.406  -0.04
O 0.376 0.808 0.094  -0.04
Tl 0.183 0.000 0.635  0.01

Values from the calculation:
For the total magnetization, the calculation gives 1.000 μB per formula unit. The calculation puts the energy at -5.1076 eV per atom.